Record 1
First-principles (PBE) data for BeSb2Ir after structural relaxation, as listed in the Alexandria database.

Lattice parameters (Å, degrees): 5.1428 5.1428 5.1428 131.72 131.72 70.66
Atoms (fractional coordinates):
Be 0.5000 0.5000 0.0000
Ir 0.7500 0.2500 0.5000
Sb 0.0000 0.0000 0.0000
Sb 0.2500 0.7500 0.5000

Properties
**Formation energy from raw total energies**: 0.5365 eV/atom
**VASP energy**: -18.69 eV for the cell shown

Record 2
First-principles (PBE) data for Sc2FeMo after structural relaxation, as listed in the Alexandria database.

Lattice parameters (Å, degrees): 5.4808 5.4808 5.4808 146.55 129.84 61.64
Atoms (fractional coordinates):
Fe 0.5184 0.5184 0.0000
Mo 0.7158 0.2158 0.5000
Sc 0.9915 0.9915 0.0000
Sc 0.2743 0.7743 0.5000

Properties
**Energy above the lowest structure with this stoichiometry**: 9 meV/atom
**Formation energy**: 0.034 eV per atom
**VASP energy**: -31.82 eV for the cell shown

Record 3
First-principles (PBE) data for ZrSc2Ni after structural relaxation, as listed in the Alexandria database.

Lattice parameters (Å, degrees): 3.2468 3.2468 7.6964 90.00 90.00 90.00
Atoms (fractional coordinates):
Zr 0.0000 0.0000 0.5400
Ni 0.5000 0.5000 0.7538
Sc 0.0000 0.0000 0.9424
Sc 0.5000 0.5000 0.2638

Properties
**Energy above the lowest structure with this stoichiometry**: 65 meV/atom
**Formation energy**: -0.184 eV per atom
**VASP energy**: -27.73 eV for the cell shown

Record 4
First-principles (PBE) data for LiGa2AuCl after structural relaxation, as listed in the Alexandria database.

Lattice parameters (Å, degrees): 5.3107 5.1429 5.3107 90.00 90.00 90.00
Atoms (fractional coordinates):
Au 0.0000 0.5000 0.0000
Ga 0.5000 0.0000 0.0000
Cl 0.0000 0.0000 0.0000
Ga 0.0000 0.0000 0.5000
Li 0.5000 0.5000 0.5000

Properties
**Formation energy from raw total energies**: 0.3322 eV/atom
**VASP energy**: -11.43 eV for the cell shown

Record 5
First-principles (PBE) data for NaSiAg2F6 after structural relaxation, as listed in the Alexandria database.

Lattice parameters (Å, degrees): 5.8113 5.8273 8.3103 90.00 89.70 90.00
Atoms (fractional coordinates):
F 0.4983 0.0002 0.7084
F 0.7102 0.2101 0.4999
F 0.7898 0.7101 0.0001
Si 0.5000 0.0000 0.5000
F 0.9983 0.4998 0.2084
F 0.5017 0.9998 0.2916
Si 0.0000 0.5000 0.0000
Na 0.0000 0.5000 0.5000
Na 0.5000 0.0000 0.0000
Ag 0.9979 0.0000 0.7509
F 0.2102 0.2899 0.9999
Ag 0.4979 0.5000 0.2509
F 0.2892 0.2096 0.4999
F 0.2108 0.7096 0.0001
F 0.7892 0.2904 0.9999
F 0.7108 0.7904 0.5001
Ag 0.0021 0.0000 0.2491
Ag 0.5021 0.5000 0.7491
F 0.0017 0.5002 0.7916
F 0.2898 0.7899 0.5001

Properties
**Formation energy from raw total energies**: -2.1363 eV/atom
**VASP energy**: -90.07 eV for the cell shown

Record 6
First-principles (PBE) data for CaGa2Re after structural relaxation, as listed in the Alexandria database.

Lattice parameters (Å, degrees): 4.6293 4.6293 4.6293 60.00 60.00 60.00
Atoms (fractional coordinates):
Ga 0.2500 0.2500 0.2500
Re 0.5000 0.5000 0.5000
Ca 0.0000 0.0000 0.0000
Ga 0.7500 0.7500 0.7500

Properties
**Energy above the lowest structure with this stoichiometry**: 0 meV/atom
**Formation energy**: 0.139 eV per atom
**VASP energy**: -19.95 eV for the cell shown

Record 7
First-principles (PBE) data for Zn4Ga3Pd after structural relaxation, as listed in the Alexandria database.

Lattice parameters (Å, degrees): 4.1969 2.8678 11.3713 98.14 100.63 90.00
Atoms (fractional coordinates):
Zn 0.6025 0.6100 0.2049
Zn 0.2761 0.2817 0.5521
Pd 0.5000 0.0000 0.0000
Ga 0.1538 0.1613 0.3076
Ga 0.8462 0.8387 0.6924
Zn 0.7239 0.7183 0.4479
Ga 0.0000 0.5000 0.0000
Zn 0.3975 0.3900 0.7951

Properties
**Formation energy**: -0.124 eV per atom
**VASP energy**: -20.36 eV for the cell shown

Record 8
First-principles (PBE) data for Tl4S12I after structural relaxation, as listed in the Alexandria database.

Lattice parameters (Å, degrees): 8.7668 8.7665 8.7666 109.47 109.47 109.47
Atoms (fractional coordinates):
Tl 0.5000 0.0000 0.0000
S 0.1303 0.5957 0.7260
S 0.5957 0.7260 0.1303
S 0.4043 0.2740 0.8697
S 0.2740 0.8697 0.4043
Tl 0.0000 0.5000 0.0000
S 0.4043 0.5346 0.1303
I 0.0000 0.0000 0.0000
S 0.7260 0.1303 0.5957
Tl 0.0000 0.0000 0.5000
S 0.8697 0.4043 0.2740
S 0.1303 0.4043 0.5346
S 0.4654 0.8697 0.5957
S 0.5957 0.4654 0.8697
S 0.5346 0.1303 0.4043
Tl 0.5000 0.5000 0.5000
S 0.8697 0.5957 0.4654

Properties
**Formation energy from raw total energies**: -0.0476 eV/atom
**VASP energy**: -61.35 eV for the cell shown

Record 9
First-principles (PBE) data for Na3ZnIn12 after structural relaxation, as listed in the Alexandria database.

Lattice parameters (Å, degrees): 4.7217 4.7217 18.4607 90.00 90.00 90.00
Atoms (fractional coordinates):
In 0.5000 0.0000 0.1177
In 0.0000 0.5000 0.6270
In 0.0000 0.5000 0.1177
In 0.5000 0.5000 0.0000
In 0.5000 0.5000 0.7535
Na 0.0000 0.0000 0.2463
In 0.5000 0.0000 0.3730
In 0.0000 0.5000 0.8823
In 0.0000 0.5000 0.3730
In 0.5000 0.0000 0.6270
Na 0.0000 0.0000 0.7537
Na 0.0000 0.0000 0.5000
Zn 0.0000 0.0000 0.0000
In 0.5000 0.0000 0.8823
In 0.5000 0.5000 0.2465
In 0.5000 0.5000 0.5000

Properties
**Formation energy**: -0.042 eV per atom
**VASP energy**: -38.76 eV for the cell shown

Record 10
First-principles (PBE) data for AcTcSb3 after structural relaxation, as listed in the Alexandria database.

Lattice parameters (Å, degrees): 6.2815 6.3070 13.6266 90.00 90.00 90.00
Atoms (fractional coordinates):
Tc 0.0000 0.7500 0.9057
Ac 0.2500 0.9920 0.6957
Sb 0.0000 0.2500 0.4998
Ac 0.7500 0.5080 0.6957
Ac 0.2500 0.4920 0.3043
Sb 0.5000 0.7500 0.5002
Tc 0.5000 0.7500 0.9057
Sb 0.2500 0.9851 0.2011
Tc 0.0000 0.2500 0.0943
Sb 0.7500 0.0149 0.7989
Tc 0.5000 0.2500 0.0943
Sb 0.7500 0.4020 0.9438
Sb 0.2500 0.4851 0.7989
Sb 0.2500 0.0980 0.9438
Ac 0.7500 0.0080 0.3043
Sb 0.0000 0.7500 0.5002
Sb 0.7500 0.9020 0.0562
Sb 0.5000 0.2500 0.4998
Sb 0.7500 0.5149 0.2011
Sb 0.2500 0.5980 0.0562

Properties
**Energy above the lowest structure with this stoichiometry**: 0 meV/atom
**Formation energy from raw total energies**: -0.5039 eV/atom
**VASP energy**: -117.44 eV for the cell shown